NpBiPdO6: relaxed, PBE-GGA.

POSCAR file:
```
NpBiPdO6
1.0
5.418 0.000 0.000
-2.709 4.692 0.000
0.000 0.000 10.306
Np Bi Pd O
2 2 2 12
Cartesian
0.000 3.128 2.577 Np
2.709 1.564 7.730 Np
0.000 0.000 0.000 Bi
0.000 0.000 5.153 Bi
0.000 3.128 7.730 Pd
2.709 1.564 2.577 Pd
-0.931 1.661 1.417 O
-1.736 3.055 3.736 O
0.931 1.661 3.736 O
-0.805 4.668 1.417 O
1.904 0.024 6.570 O
0.973 1.637 8.890 O
1.736 3.055 1.417 O
0.805 4.668 3.736 O
3.514 0.024 8.890 O
1.778 3.031 6.570 O
4.445 1.637 6.570 O
3.641 3.031 8.890 O
```

Output
Fermi-level density of states = 15.1 states/eV/cell
calculated total energy = -7.3810 eV per atom
space-group type = P-31c (163)
uncorrected formation energy = -1.6295 eV per atom